No. 1
Here is a relaxed Na14LiPb crystal from Alexandria. Energies are from PBE-GGA.

Lattice parameters (Å, degrees): 11.7999 7.7148 11.9029 90.00 90.00 90.00
Space group Amm2 (No. 38)
One atom of each set of equivalent atoms:
Na 0.0000 0.0000 0.0000 x2
Na 0.0000 0.0000 0.4987 x2
Na 0.0000 0.2452 0.7508 x4
Na 0.2467 0.0000 0.2040 x4
Na 0.2594 0.0000 0.7084 x4
Na 0.2691 0.2487 0.9510 x8
Na 0.5000 0.2445 0.1553 x4
Li 0.5000 0.0000 0.4034 x2
Pb 0.5000 0.0000 0.8992 x2

DFT formation energy: -0.008 eV/atom
Final energy: -1.51 eV per atom
Spin magnetization: 0.0 μB/f.u.

No. 2
Here is a relaxed TbDy2Ru2 crystal from Alexandria. Energies are from PBE-GGA.

Lattice parameters (Å, degrees): 3.4029 20.4590 3.3843 90.00 90.00 90.00
Space group Cmmm (No. 65)
One atom of each set of equivalent atoms:
Tb 0.0000 0.0000 0.0000 x2
Dy 0.0000 0.1651 0.0000 x4
Ru 0.0000 0.4116 0.5000 x4

DFT formation energy: -0.308 eV/atom
Distance to the lowest polymorph of the same formula: 0 meV per atom
Final energy: -6.79 eV per atom
Spin magnetization: 0.0 μB/f.u.

No. 3
Here is a relaxed ScGa2CuAs crystal from Alexandria. Energies are from PBE-GGA.

Lattice parameters (Å, degrees): 4.4868 4.4868 5.1109 90.00 90.00 90.00
Space group P4/mmm (No. 123)
One atom of each set of equivalent atoms:
Sc 0.0000 0.0000 0.0000 x1
Ga 0.0000 0.5000 0.5000 x2
Cu 0.5000 0.5000 0.5000 x1
As 0.5000 0.5000 0.0000 x1

DFT formation energy: 0.065 eV/atom
Final energy: -4.16 eV per atom
Spin magnetization: 0.0 μB/f.u.

No. 4
Here is a relaxed InBO2 crystal from Alexandria. Energies are from PBE-GGA.

Lattice parameters (Å, degrees): 5.5592 5.5592 5.5592 90.00 90.00 90.00
Space group Fm-3m (No. 225)
One atom of each set of equivalent atoms:
In 0.0000 0.0000 0.0000 x4
B 0.0000 0.0000 0.5000 x4
O 0.2500 0.2500 0.2500 x8

Formation energy from raw total energies: 370 meV per atom
Final energy: -4.46 eV per atom
Spin magnetization: 0.0 μB/f.u.

No. 5
Here is a relaxed PaCuTc2 crystal from Alexandria. Energies are from PBE-GGA.

Lattice parameters (Å, degrees): 3.2549 3.2549 26.1963 90.00 90.00 120.00
Space group R-3m (No. 166, hexagonal axes)
One atom of each set of equivalent atoms:
Pa 0.0000 0.0000 0.0000 x3
Cu 0.0000 0.0000 0.5000 x3
Tc 0.0000 0.0000 0.4028 x6

DFT formation energy: 0.743 eV/atom
Distance to the lowest polymorph of the same formula: 833 meV per atom
Final energy: -7.84 eV per atom
Spin magnetization: 0.0 μB/f.u.